Record 1
{
  "formula": "InCu2Ru",
  "functional": "PBE",
  "state": "relaxed",
  "cell": [[4.5844, 0.0155, 0.0000], [0.9961, 4.4749, 0.0000], [-2.7902, -2.2452, 2.8619]],
  "species": ["Cu", "Cu", "In", "Ru"],
  "fractional_positions": [[0.0000, 0.0000, 0.0000], [0.5000, 0.5000, 0.0000], [0.2500, 0.7500, 0.5000], [0.7500, 0.2500, 0.5000]],
  "e_tot_ev_per_fu": -19.440,
  "m_tot_mub_per_cell": 0.00,
  "delta_e_f_ev_per_atom": 0.192
}

Record 2
{
  "formula": "PrDyTlAg",
  "functional": "PBE",
  "state": "relaxed",
  "cell": [[-1.7132, 1.4938, 4.8668], [-0.7449, -3.6877, 3.8339], [3.3360, -0.2147, 4.2044]],
  "species": ["Dy", "Tl", "Pr", "Ag"],
  "fractional_positions": [[0.0000, 0.0000, 0.0000], [0.7500, 0.7500, 0.7500], [0.5000, 0.5000, 0.5000], [0.2500, 0.2500, 0.2500]],
  "e_tot_ev_per_fu": -15.868,
  "m_tot_mub_per_cell": 0.36,
  "delta_e_f_ev_per_atom": -0.317
}

Record 3
{
  "formula": "PuZnHgSb",
  "functional": "PBE",
  "state": "relaxed",
  "cell": [[5.1594, 0.0000, 0.0000], [2.5797, 4.4681, 0.0000], [2.5797, 1.4894, 4.2126]],
  "species": ["Hg", "Pu", "Zn", "Sb"],
  "fractional_positions": [[0.5000, 0.5000, 0.5000], [0.2500, 0.2500, 0.2500], [0.7500, 0.7500, 0.7500], [0.0000, 0.0000, 0.0000]],
  "e_tot_ev_per_fu": -20.593,
  "m_tot_mub_per_cell": 5.75,
  "formation_energy_uncorrected_mev_per_atom": -141
}

Record 4
{
  "formula": "SrLaAg2",
  "functional": "PBE",
  "state": "relaxed",
  "cell": [[-1.2496, 2.8212, 5.6699], [-5.9681, 2.0538, 1.3536], [2.9094, -5.3107, -2.2363]],
  "species": ["Sr", "Ag", "Ag", "La"],
  "fractional_positions": [[0.7500, 0.2500, 0.5000], [0.2500, 0.7500, 0.5000], [0.0000, 0.0000, 0.0000], [0.5000, 0.5000, 0.0000]],
  "e_tot_ev_per_fu": -12.520,
  "m_tot_mub_per_cell": 0.00,
  "delta_e_f_ev_per_atom": -0.052
}

Record 5
{
  "formula": "RbSnF3",
  "functional": "PBE",
  "state": "relaxed",
  "cell": [[3.8988, -2.2510, 0.0000], [0.0000, 4.5019, 0.0000], [0.0000, 0.0000, 10.1898]],
  "species": ["F", "F", "F", "F", "F", "F", "Rb", "Rb", "Sn", "Sn"],
  "fractional_positions": [[0.0000, 0.0000, 0.2500], [0.6667, 0.3333, 0.9492], [0.0000, 0.0000, 0.7500], [0.3333, 0.6667, 0.0508], [0.3333, 0.6667, 0.4492], [0.6667, 0.3333, 0.5508], [0.3333, 0.6667, 0.7500], [0.6667, 0.3333, 0.2500], [0.0000, 0.0000, 0.5000], [0.0000, 0.0000, 0.0000]],
  "e_tot_ev_per_fu": -22.108,
  "m_tot_mub_per_cell": 0.00,
  "formation_energy_uncorrected_mev_per_atom": -2305
}

Record 6
{
  "formula": "ZnAuC2S",
  "functional": "PBE",
  "state": "relaxed",
  "cell": [[-0.4605, 0.1121, 3.7459], [-2.2780, -5.3595, -0.1197], [3.4444, -1.4744, 0.4676]],
  "species": ["C", "C", "S", "Zn", "Au"],
  "fractional_positions": [[0.0000, 0.0000, 0.5000], [0.5000, 0.0000, 0.0000], [0.0000, 0.5000, 0.0000], [0.0000, 0.0000, 0.0000], [0.5000, 0.5000, 0.5000]],
  "e_tot_ev_per_fu": -16.321,
  "m_tot_mub_per_cell": 1.23,
  "formation_energy_uncorrected_mev_per_atom": 2161
}

Record 7
{
  "formula": "YMn2Cd",
  "functional": "PBE",
  "state": "relaxed",
  "cell": [[4.5235, 0.0000, 0.0000], [0.0000, 3.2053, 0.0009], [0.0000, 1.6044, 5.5439]],
  "species": ["Y", "Cd", "Mn", "Mn"],
  "fractional_positions": [[0.0000, 0.4586, 0.4575], [0.5000, 0.7877, 0.7994], [0.0000, 0.1892, 0.9973], [0.5000, 0.0644, 0.2459]],
  "e_tot_ev_per_fu": -24.632,
  "m_tot_mub_per_cell": 6.49,
  "delta_e_f_ev_per_atom": 0.272
}

Record 8
{
  "formula": "TaTlPb",
  "functional": "PBE",
  "state": "relaxed",
  "cell": [[-2.0756, 1.9662, 5.0348], [-3.0099, -3.0874, 3.8643], [4.8353, 0.4152, -3.1578]],
  "species": ["Pb", "Tl", "Ta"],
  "fractional_positions": [[0.9907, 0.9907, 0.0000], [0.6792, 0.6792, 0.0000], [0.3301, 0.3301, 0.0000]],
  "e_tot_ev_per_fu": -15.841,
  "m_tot_mub_per_cell": 0.00,
  "delta_e_f_ev_per_atom": 0.695
}